Record 1
VASP calculation (PBE-GGA) on a relaxed structure of FeHgN2.

Total magnetic moment   6.07 μB per cell
ΔE_f (raw)   575.9 meV/atom

```
data_FeHgN2
_space_group_name_H-M_alt 'R -3 m'
_space_group_IT_number 166
_space_group_name_Hall '-R 3 2"'
_cell_length_a 2.9630
_cell_length_b 2.9630
_cell_length_c 18.8109
_cell_angle_alpha 90.00
_cell_angle_beta 90.00
_cell_angle_gamma 120.00
loop_
_atom_site_label
_atom_site_type_symbol
_atom_site_fract_x
_atom_site_fract_y
_atom_site_fract_z
Fe1 Fe 0.0000 0.0000 0.0000
Hg1 Hg 0.0000 0.0000 0.5000
N1 N 0.0000 0.0000 0.3855
```

=====

Record 2
VASP calculation (PBE-GGA) on a relaxed structure of FeHgN3.

Total magnetic moment   2.14 μB per cell
ΔE_f (raw)   3210.9 meV/atom

```
data_FeHgN3
_space_group_name_H-M_alt 'P m -3 m'
_space_group_IT_number 221
_space_group_name_Hall '-P 4 2 3'
_cell_length_a 4.1065
_cell_length_b 4.1065
_cell_length_c 4.1065
_cell_angle_alpha 90.00
_cell_angle_beta 90.00
_cell_angle_gamma 90.00
loop_
_atom_site_label
_atom_site_type_symbol
_atom_site_fract_x
_atom_site_fract_y
_atom_site_fract_z
Fe1 Fe 0.0000 0.0000 0.0000
Hg1 Hg 0.5000 0.5000 0.5000
N1 N 0.0000 0.5000 0.5000
```

=====

Among the records above, which one has the lowest ΔE_f (raw)?
FeHgN2